(1)
## Zn2HgSb (PBE-GGA)

Data for a geometry-optimized Zn2HgSb structure.

- raw total energy (eV per formula unit) = -6.43
- excess energy over the best structure of this formula in the dataset (meV per atom) = 39
- SG = R-3m, No. 166
- energy relative to the elements, uncorrected (meV/atom) = 136

a b c (Å): 3.5046 3.5046 24.2833
angles (deg): 90.00 90.00 120.00
Last column: nearest neighbours and their distance in Å.
Sites, in units of the cell vectors:
Zn (0.0000, 0.0000, 0.2474)  3 Hg 2.82, 3 Sb 2.91
Zn (0.0000, 0.0000, 0.7526)  3 Hg 2.82, 3 Sb 2.91
Zn (0.3333, 0.6667, 0.4193)  3 Hg 2.82, 3 Sb 2.91
Zn (0.3333, 0.6667, 0.9140)  3 Hg 2.82, 3 Sb 2.91
Zn (0.6667, 0.3333, 0.0860)  3 Hg 2.82, 3 Sb 2.91
Zn (0.6667, 0.3333, 0.5807)  3 Hg 2.82, 3 Sb 2.91
Hg (0.0000, 0.0000, 0.5000)  6 Zn 2.82
Hg (0.3333, 0.6667, 0.1667)  6 Zn 2.82
Hg (0.6667, 0.3333, 0.8333)  6 Zn 2.82
Sb (0.0000, 0.0000, 0.0000)  6 Zn 2.91
Sb (0.3333, 0.6667, 0.6667)  6 Zn 2.91
Sb (0.6667, 0.3333, 0.3333)  6 Zn 2.91

***

(2)
## Zn2HgSb2 (PBE-GGA)

Data for a geometry-optimized Zn2HgSb2 structure.

- raw total energy (eV per formula unit) = -10.72
- excess energy over the best structure of this formula in the dataset (meV per atom) = 0
- SG = I4/mmm, No. 139
- energy relative to the elements, uncorrected (meV/atom) = 75

a b c (Å): 4.9620 4.9620 10.7012
angles (deg): 90.00 90.00 90.00
Last column: nearest neighbours and their distance in Å.
Sites, in units of the cell vectors:
Zn (0.0000, 0.5000, 0.2500)  4 Sb 2.78
Zn (0.0000, 0.5000, 0.7500)  4 Sb 2.78
Zn (0.5000, 0.0000, 0.2500)  4 Sb 2.78
Zn (0.5000, 0.0000, 0.7500)  4 Sb 2.78
Hg (0.0000, 0.0000, 0.0000)  8 Zn 3.65, 10 Sb 3.78-3.93
Hg (0.5000, 0.5000, 0.5000)  8 Zn 3.65, 10 Sb 3.78-3.93
Sb (0.0000, 0.0000, 0.3676)  4 Zn 2.78, 1 Sb 2.83
Sb (0.0000, 0.0000, 0.6324)  4 Zn 2.78, 1 Sb 2.83
Sb (0.5000, 0.5000, 0.1324)  4 Zn 2.78, 1 Sb 2.83
Sb (0.5000, 0.5000, 0.8676)  4 Zn 2.78, 1 Sb 2.83

***

(3)
## Zn2HgSb (PBE-GGA)

Data for a geometry-optimized Zn2HgSb structure.

- raw total energy (eV per formula unit) = -6.58
- excess energy over the best structure of this formula in the dataset (meV per atom) = 0
- SG = R3m, No. 160
- energy relative to the elements, uncorrected (meV/atom) = 98

a b c (Å): 4.2027 4.2027 17.9921
angles (deg): 90.00 90.00 120.00
Last column: nearest neighbours and their distance in Å.
Sites, in units of the cell vectors:
Zn (0.0000, 0.0000, 0.0000)  3 Sb 2.87, 3 Hg 2.91, 1 Zn 2.99
Zn (0.0000, 0.0000, 0.1664)  3 Hg 2.80, 3 Sb 2.84, 1 Zn 2.99
Zn (0.3333, 0.6667, 0.6667)  3 Sb 2.87, 3 Hg 2.91, 1 Zn 2.99
Zn (0.3333, 0.6667, 0.8331)  3 Hg 2.80, 3 Sb 2.84, 1 Zn 2.99
Zn (0.6667, 0.3333, 0.3333)  3 Sb 2.87, 3 Hg 2.91, 1 Zn 2.99
Zn (0.6667, 0.3333, 0.4997)  3 Hg 2.80, 3 Sb 2.84, 1 Zn 2.99
Hg (0.0000, 0.0000, 0.7555)  6 Zn 2.80-2.91, 1 Sb 3.12
Hg (0.3333, 0.6667, 0.4222)  6 Zn 2.80-2.91, 1 Sb 3.12
Hg (0.6667, 0.3333, 0.0889)  6 Zn 2.80-2.91, 1 Sb 3.12
Sb (0.0000, 0.0000, 0.5818)  6 Zn 2.84-2.87, 1 Hg 3.12
Sb (0.3333, 0.6667, 0.2485)  6 Zn 2.84-2.87, 1 Hg 3.12
Sb (0.6667, 0.3333, 0.9152)  6 Zn 2.84-2.87, 1 Hg 3.12

***

(4)
## ZnHg4Sb (PBE-GGA)

Data for a geometry-optimized ZnHg4Sb structure.

- raw total energy (eV per formula unit) = -4.71
- SG = F-43m, No. 216
- energy relative to the elements, uncorrected (meV/atom) = 316

a b c (Å): 6.0568 6.0568 6.0568
angles (deg): 60.00 60.00 60.00
Last column: nearest neighbours and their distance in Å.
Sites, in units of the cell vectors:
Zn (0.0000, 0.0000, 0.0000)  12 Hg 3.55, 4 Sb 3.71
Hg (0.1244, 0.6252, 0.6252)  6 Hg 3.02-3.03
Hg (0.6252, 0.1244, 0.6252)  6 Hg 3.02-3.03
Hg (0.6252, 0.6252, 0.1244)  6 Hg 3.02-3.03
Hg (0.6252, 0.6252, 0.6252)  6 Hg 3.02-3.03
Sb (0.2500, 0.2500, 0.2500)  12 Hg 3.55, 4 Zn 3.71

***

(5)
## Zn2HgSb (PBE-GGA)

Data for a geometry-optimized Zn2HgSb structure.

- raw total energy (eV per formula unit) = -6.36
- excess energy over the best structure of this formula in the dataset (meV per atom) = 56
- SG = C2/m, No. 12
- energy relative to the elements, uncorrected (meV/atom) = 154

a b c (Å): 7.4339 7.6283 3.3155
angles (deg): 90.00 106.74 90.00
Last column: nearest neighbours and their distance in Å.
Sites, in units of the cell vectors:
Zn (0.2500, 0.2500, 0.0000)  2 Hg 2.84, 2 Sb 2.84
Zn (0.2500, 0.7500, 0.0000)  2 Hg 2.84, 2 Sb 2.84
Zn (0.7500, 0.2500, 0.0000)  2 Hg 2.84, 2 Sb 2.84
Zn (0.7500, 0.7500, 0.0000)  2 Sb 2.84, 2 Hg 2.84
Hg (0.0000, 0.0000, 0.5000)  4 Zn 2.84
Hg (0.5000, 0.5000, 0.5000)  4 Zn 2.84
Sb (0.0000, 0.5000, 0.5000)  4 Zn 2.84
Sb (0.5000, 0.0000, 0.5000)  4 Zn 2.84

***

(6)
## ZnHgSb (PBE-GGA)

Data for a geometry-optimized ZnHgSb structure.

- raw total energy (eV per formula unit) = -5.14
- excess energy over the best structure of this formula in the dataset (meV per atom) = 164
- SG = I4mm, No. 107
- energy relative to the elements, uncorrected (meV/atom) = 186

a b c (Å): 3.2649 3.2649 13.1169
angles (deg): 90.00 90.00 90.00
Last column: nearest neighbours and their distance in Å.
Sites, in units of the cell vectors:
Zn (0.0000, 0.0000, 0.0000)  4 Hg 2.98, 4 Sb 3.06, 4 Zn 3.26
Zn (0.5000, 0.5000, 0.5000)  4 Hg 2.98, 4 Sb 3.06, 4 Zn 3.26
Hg (0.0000, 0.0000, 0.3564)  4 Zn 2.98, 4 Hg 3.26
Hg (0.5000, 0.5000, 0.8564)  4 Zn 2.98, 4 Hg 3.26
Sb (0.0000, 0.0000, 0.6533)  4 Zn 3.06, 4 Sb 3.26
Sb (0.5000, 0.5000, 0.1533)  4 Zn 3.06, 4 Sb 3.26

***

> The highest energy relative to the elements, uncorrected belongs to which entry?

ZnHg4Sb